No. 1
First-principles (GGA-PBE) data for a geometry-optimized TeAsW2 structure, as listed in Alexandria via LeMat-Bulk.

Geometry as CIF:
```
data_TeAsW2
_chemical_formula_sum 'Te1 As1 W2'
_symmetry_space_group_name_H-M 'P 1'
_symmetry_Int_Tables_number 1
_symmetry_space_group_name_Hall 'P 1'
_cell_length_a 3.062
_cell_length_b 3.062
_cell_length_c 8.609
_cell_angle_alpha 90.00
_cell_angle_beta 90.00
_cell_angle_gamma 115.03
loop_
_atom_site_label
_atom_site_type_symbol
_atom_site_fract_x
_atom_site_fract_y
_atom_site_fract_z
_atom_site_occupancy
Te1 Te 0.000 0.000 0.000 1
As1 As 0.000 0.000 0.500 1
W1 W 0.500 0.500 0.276 1
W2 W 0.500 0.500 0.724 1
```

VASP energy: -29.94 eV per cell
offset from the most stable computed form: 756.0 meV per atom
formation energy (no corrections): 0.94 eV/atom
mass density: 12.94 g/cm3
total magnetization: 0.00 μB/cell

No. 2
First-principles (GGA-PBE) data for a geometry-optimized HoCdCuAu structure, as listed in Alexandria via LeMat-Bulk.

Geometry as CIF:
```
data_HoCdCuAu
_chemical_formula_sum 'Ho1 Cd1 Cu1 Au1'
_symmetry_space_group_name_H-M 'P 1'
_symmetry_Int_Tables_number 1
_symmetry_space_group_name_Hall 'P 1'
_cell_length_a 4.824
_cell_length_b 4.824
_cell_length_c 4.824
_cell_angle_alpha 60.00
_cell_angle_beta 60.00
_cell_angle_gamma 60.00
loop_
_atom_site_label
_atom_site_type_symbol
_atom_site_fract_x
_atom_site_fract_y
_atom_site_fract_z
_atom_site_occupancy
Ho1 Ho 0.000 0.000 0.000 1
Cd1 Cd 0.500 0.500 0.500 1
Cu1 Cu 0.750 0.750 0.750 1
Au1 Au 0.250 0.250 0.250 1
```

E_form: -0.425 eV/atom
VASP energy: -14.57 eV per cell
mass density: 11.25 g/cm3
total magnetization: 0.00 μB/cell

No. 3
First-principles (GGA-PBE) data for a geometry-optimized NbV2Au2 structure, as listed in Alexandria via LeMat-Bulk.

Geometry as CIF:
```
data_NbV2Au2
_chemical_formula_sum 'Nb2 V4 Au4'
_symmetry_space_group_name_H-M 'P 1'
_symmetry_Int_Tables_number 1
_symmetry_space_group_name_Hall 'P 1'
_cell_length_a 6.691
_cell_length_b 6.691
_cell_length_c 3.742
_cell_angle_alpha 90.00
_cell_angle_beta 90.00
_cell_angle_gamma 90.00
loop_
_atom_site_label
_atom_site_type_symbol
_atom_site_fract_x
_atom_site_fract_y
_atom_site_fract_z
_atom_site_occupancy
Nb1 Nb 0.000 0.000 0.000 1
Nb2 Nb 0.500 0.500 0.000 1
V1 V 0.139 0.361 0.000 1
V2 V 0.361 0.861 0.000 1
V3 V 0.639 0.139 0.000 1
V4 V 0.861 0.639 0.000 1
Au1 Au 0.159 0.659 0.500 1
Au2 Au 0.341 0.159 0.500 1
Au3 Au 0.659 0.841 0.500 1
Au4 Au 0.841 0.341 0.500 1
```

E_form: 0.214 eV/atom
VASP energy: -67.58 eV per cell
mass density: 11.67 g/cm3
total magnetization: 2.50 μB/cell

No. 4
First-principles (GGA-PBE) data for a geometry-optimized TbPuTc2 structure, as listed in Alexandria via LeMat-Bulk.

Geometry as CIF:
```
data_TbPuTc2
_chemical_formula_sum 'Tb1 Pu1 Tc2'
_symmetry_space_group_name_H-M 'P 1'
_symmetry_Int_Tables_number 1
_symmetry_space_group_name_Hall 'P 1'
_cell_length_a 4.798
_cell_length_b 4.798
_cell_length_c 4.798
_cell_angle_alpha 60.00
_cell_angle_beta 60.00
_cell_angle_gamma 60.00
loop_
_atom_site_label
_atom_site_type_symbol
_atom_site_fract_x
_atom_site_fract_y
_atom_site_fract_z
_atom_site_occupancy
Tb1 Tb 0.000 0.000 0.000 1
Pu1 Pu 0.500 0.500 0.500 1
Tc1 Tc 0.250 0.250 0.250 1
Tc2 Tc 0.750 0.750 0.750 1
```

E_form: 0.074 eV/atom
VASP energy: -39.40 eV per cell
offset from the most stable computed form: 48.9 meV per atom
mass density: 12.73 g/cm3
total magnetization: 3.11 μB/cell

No. 5
First-principles (GGA-PBE) data for a geometry-optimized Nd6Sn2Au structure, as listed in Alexandria via LeMat-Bulk.

Geometry as CIF:
```
data_Nd6Sn2Au
_chemical_formula_sum 'Nd6 Sn2 Au1'
_symmetry_space_group_name_H-M 'P 1'
_symmetry_Int_Tables_number 1
_symmetry_space_group_name_Hall 'P 1'
_cell_length_a 8.554
_cell_length_b 8.554
_cell_length_c 4.372
_cell_angle_alpha 90.00
_cell_angle_beta 90.00
_cell_angle_gamma 120.00
loop_
_atom_site_label
_atom_site_type_symbol
_atom_site_fract_x
_atom_site_fract_y
_atom_site_fract_z
_atom_site_occupancy
Nd1 Nd 0.000 0.410 0.000 1
Nd2 Nd 0.000 0.747 0.500 1
Nd3 Nd 0.253 0.253 0.500 1
Nd4 Nd 0.410 0.000 0.000 1
Nd5 Nd 0.590 0.590 0.000 1
Nd6 Nd 0.747 0.000 0.500 1
Sn1 Sn 0.333 0.667 0.500 1
Sn2 Sn 0.667 0.333 0.500 1
Au1 Au 0.000 0.000 0.000 1
```

E_form: -0.553 eV/atom
VASP energy: -44.87 eV per cell
mass density: 7.79 g/cm3
total magnetization: 0.11 μB/cell

No. 6
First-principles (GGA-PBE) data for a geometry-optimized RbF2 structure, as listed in Alexandria via LeMat-Bulk.

Geometry as CIF:
```
data_RbF2
_chemical_formula_sum 'Rb2 F4'
_symmetry_space_group_name_H-M 'P 1'
_symmetry_Int_Tables_number 1
_symmetry_space_group_name_Hall 'P 1'
_cell_length_a 5.231
_cell_length_b 5.231
_cell_length_c 5.368
_cell_angle_alpha 90.00
_cell_angle_beta 90.00
_cell_angle_gamma 90.00
loop_
_atom_site_label
_atom_site_type_symbol
_atom_site_fract_x
_atom_site_fract_y
_atom_site_fract_z
_atom_site_occupancy
Rb1 Rb 0.000 0.000 0.000 1
Rb2 Rb 0.500 0.500 0.500 1
F1 F 0.134 0.134 0.500 1
F2 F 0.366 0.634 0.000 1
F3 F 0.634 0.366 0.000 1
F4 F 0.866 0.866 0.500 1
```

VASP energy: -20.40 eV per cell
formation energy (no corrections): -1.83 eV/atom
mass density: 2.79 g/cm3
total magnetization: 2.04 μB/cell

No. 7
First-principles (GGA-PBE) data for a geometry-optimized NbGaF2 structure, as listed in Alexandria via LeMat-Bulk.

Geometry as CIF:
```
data_NbGaF2
_chemical_formula_sum 'Nb1 Ga1 F2'
_symmetry_space_group_name_H-M 'P 1'
_symmetry_Int_Tables_number 1
_symmetry_space_group_name_Hall 'P 1'
_cell_length_a 4.228
_cell_length_b 4.228
_cell_length_c 4.228
_cell_angle_alpha 60.00
_cell_angle_beta 60.00
_cell_angle_gamma 60.00
loop_
_atom_site_label
_atom_site_type_symbol
_atom_site_fract_x
_atom_site_fract_y
_atom_site_fract_z
_atom_site_occupancy
Nb1 Nb 0.000 0.000 0.000 1
Ga1 Ga 0.500 0.500 0.500 1
F1 F 0.250 0.250 0.250 1
F2 F 0.750 0.750 0.750 1
```

VASP energy: -19.94 eV per cell
offset from the most stable computed form: 747.8 meV per atom
formation energy (no corrections): -0.78 eV/atom
mass density: 6.24 g/cm3
total magnetization: 0.19 μB/cell

No. 8
First-principles (GGA-PBE) data for a geometry-optimized LiTmCdAg structure, as listed in Alexandria via LeMat-Bulk.

Geometry as CIF:
```
data_LiTmCdAg
_chemical_formula_sum 'Li1 Tm1 Cd1 Ag1'
_symmetry_space_group_name_H-M 'P 1'
_symmetry_Int_Tables_number 1
_symmetry_space_group_name_Hall 'P 1'
_cell_length_a 4.861
_cell_length_b 4.861
_cell_length_c 4.861
_cell_angle_alpha 60.00
_cell_angle_beta 60.00
_cell_angle_gamma 60.00
loop_
_atom_site_label
_atom_site_type_symbol
_atom_site_fract_x
_atom_site_fract_y
_atom_site_fract_z
_atom_site_occupancy
Li1 Li 0.000 0.000 0.000 1
Tm1 Tm 0.250 0.250 0.250 1
Cd1 Cd 0.750 0.750 0.750 1
Ag1 Ag 0.500 0.500 0.500 1
```

E_form: -0.213 eV/atom
VASP energy: -11.01 eV per cell
mass density: 8.10 g/cm3
total magnetization: 0.00 μB/cell

No. 9
First-principles (GGA-PBE) data for a geometry-optimized MgCo2N structure, as listed in Alexandria via LeMat-Bulk.

Geometry as CIF:
```
data_MgCo2N
_chemical_formula_sum 'Mg1 Co2 N1'
_symmetry_space_group_name_H-M 'P 1'
_symmetry_Int_Tables_number 1
_symmetry_space_group_name_Hall 'P 1'
_cell_length_a 3.991
_cell_length_b 3.991
_cell_length_c 3.991
_cell_angle_alpha 60.00
_cell_angle_beta 60.00
_cell_angle_gamma 60.00
loop_
_atom_site_label
_atom_site_type_symbol
_atom_site_fract_x
_atom_site_fract_y
_atom_site_fract_z
_atom_site_occupancy
Mg1 Mg 0.000 0.000 0.000 1
Co1 Co 0.250 0.250 0.250 1
Co2 Co 0.750 0.750 0.750 1
N1 N 0.500 0.500 0.500 1
```

VASP energy: -19.72 eV per cell
offset from the most stable computed form: 1107.3 meV per atom
formation energy (no corrections): 1.10 eV/atom
mass density: 5.77 g/cm3
total magnetization: 3.41 μB/cell

No. 10
First-principles (GGA-PBE) data for a geometry-optimized Ho4MgZn2Rh structure, as listed in Alexandria via LeMat-Bulk.

Geometry as CIF:
```
data_Ho4MgZn2Rh
_chemical_formula_sum 'Ho4 Mg1 Zn2 Rh1'
_symmetry_space_group_name_H-M 'P 1'
_symmetry_Int_Tables_number 1
_symmetry_space_group_name_Hall 'P 1'
_cell_length_a 8.714
_cell_length_b 8.714
_cell_length_c 8.714
_cell_angle_alpha 33.67
_cell_angle_beta 33.67
_cell_angle_gamma 33.67
loop_
_atom_site_label
_atom_site_type_symbol
_atom_site_fract_x
_atom_site_fract_y
_atom_site_fract_z
_atom_site_occupancy
Ho1 Ho 0.115 0.115 0.115 1
Ho2 Ho 0.369 0.369 0.369 1
Ho3 Ho 0.631 0.631 0.631 1
Ho4 Ho 0.885 0.885 0.885 1
Mg1 Mg 0.500 0.500 0.500 1
Zn1 Zn 0.238 0.238 0.238 1
Zn2 Zn 0.762 0.762 0.762 1
Rh1 Rh 0.000 0.000 0.000 1
```

E_form: -0.434 eV/atom
VASP energy: -33.28 eV per cell
mass density: 8.41 g/cm3
total magnetization: 0.00 μB/cell

No. 11
First-principles (GGA-PBE) data for a geometry-optimized ThNbBi2 structure, as listed in Alexandria via LeMat-Bulk.

Geometry as CIF:
```
data_ThNbBi2
_chemical_formula_sum 'Th1 Nb1 Bi2'
_symmetry_space_group_name_H-M 'P 1'
_symmetry_Int_Tables_number 1
_symmetry_space_group_name_Hall 'P 1'
_cell_length_a 11.324
_cell_length_b 11.324
_cell_length_c 11.324
_cell_angle_alpha 17.43
_cell_angle_beta 17.43
_cell_angle_gamma 17.43
loop_
_atom_site_label
_atom_site_type_symbol
_atom_site_fract_x
_atom_site_fract_y
_atom_site_fract_z
_atom_site_occupancy
Th1 Th 0.000 0.000 0.000 1
Nb1 Nb 0.500 0.500 0.500 1
Bi1 Bi 0.100 0.100 0.100 1
Bi2 Bi 0.900 0.900 0.900 1
```

E_form: 0.194 eV/atom
VASP energy: -24.48 eV per cell
mass density: 10.85 g/cm3
total magnetization: 0.00 μB/cell

No. 12
First-principles (GGA-PBE) data for a geometry-optimized BaCrAg2 structure, as listed in Alexandria via LeMat-Bulk.

Geometry as CIF:
```
data_BaCrAg2
_chemical_formula_sum 'Ba1 Cr1 Ag2'
_symmetry_space_group_name_H-M 'P 1'
_symmetry_Int_Tables_number 1
_symmetry_space_group_name_Hall 'P 1'
_cell_length_a 3.674
_cell_length_b 3.713
_cell_length_c 7.384
_cell_angle_alpha 90.00
_cell_angle_beta 90.00
_cell_angle_gamma 90.00
loop_
_atom_site_label
_atom_site_type_symbol
_atom_site_fract_x
_atom_site_fract_y
_atom_site_fract_z
_atom_site_occupancy
Ba1 Ba 0.000 0.000 0.000 1
Cr1 Cr 0.000 0.000 0.500 1
Ag1 Ag 0.500 0.500 0.313 1
Ag2 Ag 0.500 0.500 0.687 1
```

E_form: 0.287 eV/atom
VASP energy: -16.10 eV per cell
offset from the most stable computed form: 119.5 meV per atom
mass density: 6.68 g/cm3
total magnetization: 4.56 μB/cell

Question: Among the records above, which one has the lowest VASP energy?
Answer: NbV2Au2